A plane-wave DFT calculation with PBE-GGA was carried out for TePtPb after structural relaxation.

Calculated values
M_tot (Bohr magnetons per cell): 0.000
Raw formation energy (kJ per mole of atoms): -34.58
Polymorph energy (0 for the lowest one) (eV per atom): 0.0000
Space-group type: P2_13, No. 198

Lattice parameters (Å, degrees): 6.716 6.716 6.716 90.00 90.00 90.00
Atoms (fractional coordinates):
Te: 0.871 0.129 0.629
Te: 0.129 0.629 0.871
Te: 0.629 0.871 0.129
Te: 0.371 0.371 0.371
Pt: 0.491 0.509 0.009
Pt: 0.509 0.009 0.491
Pt: 0.009 0.491 0.509
Pt: 0.991 0.991 0.991
Pb: 0.133 0.867 0.367
Pb: 0.867 0.367 0.133
Pb: 0.367 0.133 0.867
Pb: 0.633 0.633 0.633